First-principles (PBE with a Hubbard U) data for a relaxed Li2VGeO4 crystal, as listed in Alexandria.

Calculated values
Symmetry: I-4m2

Cell lengths 4.124, 4.124, 5.355 Å; angles 112.65, 112.65, 90.00 degrees
Positions (direct):
Li: 0.250 0.750 0.500
Li: 0.000 0.000 0.000
V: 0.500 0.500 0.000
Ge: 0.750 0.250 0.500
O: 0.979 0.479 0.959
O: 0.521 0.021 0.041
O: 0.738 0.738 0.475
O: 0.262 0.262 0.525

---

First-principles (PBE with a Hubbard U) data for a relaxed LiV2GeO6 crystal, as listed in Alexandria.

Calculated values
Symmetry: P1

Cell lengths 4.981, 5.044, 5.453 Å; angles 62.69, 63.58, 61.04 degrees
Positions (direct):
Li: 0.805 0.799 0.595
V: 0.515 0.518 0.443
V: 0.014 0.006 0.954
Ge: 0.308 0.325 0.051
O: 0.594 0.240 0.232
O: 0.231 0.940 0.226
O: 0.934 0.601 0.232
O: 0.389 0.718 0.763
O: 0.735 0.130 0.759
O: 0.138 0.386 0.762

---

First-principles (PBE with a Hubbard U) data for a relaxed LiGeW2O crystal, as listed in Alexandria.

Calculated values
Symmetry: P4/mmm

Cell lengths 4.332, 3.874, 4.332 Å; angles 90.00, 90.00, 90.00 degrees
Positions (direct):
Ge: 0.500 0.500 0.500
O: 0.000 0.000 0.000
W: 0.000 0.000 0.500
W: 0.500 0.000 0.000
Li: 0.000 0.500 0.000

---

First-principles (PBE with a Hubbard U) data for a relaxed LiGeWO6 crystal, as listed in Alexandria.

Calculated values
Symmetry: P4_2nm

Cell lengths 4.685, 4.685, 8.930 Å; angles 90.00, 90.00, 90.00 degrees
Positions (direct):
Li: 0.500 0.500 0.504
Li: 0.000 0.000 0.004
Ge: 0.500 0.500 0.833
Ge: 0.000 0.000 0.333
W: 0.500 0.500 0.171
W: 0.000 0.000 0.671
O: 0.183 0.817 0.498
O: 0.817 0.183 0.498
O: 0.317 0.317 0.998
O: 0.683 0.683 0.998
O: 0.204 0.796 0.182
O: 0.796 0.204 0.182
O: 0.296 0.296 0.682
O: 0.704 0.704 0.682
O: 0.786 0.214 0.816
O: 0.214 0.786 0.816
O: 0.714 0.714 0.316
O: 0.286 0.286 0.316

---

Number 1: calculated volume 76 Å³ per cell, electronic total energy -6.270 eV per atom. Number 2: calculated volume 102 Å³ per cell, electronic total energy -7.046 eV per atom. Number 3: calculated volume 73 Å³ per cell, electronic total energy -5.219 eV per atom. Number 4: calculated volume 196 Å³ per cell, electronic total energy -6.486 eV per atom.